# CaIn2Os | the Alexandria database | meta-GGA SCAN | PBEsol geometry
# symmetry = Imm2, No. 44
# formation energy from the elements = 72 meV/atom
# E = -37.01 eV/atom
# magnetic moment = 0.00 Bohr magnetons per cell
data_CaIn2Os
_chemical_formula_sum 'Ca1 In2 Os1'
_cell_length_a 7.335
_cell_length_b 7.335
_cell_length_c 7.335
_cell_angle_alpha 155.24
_cell_angle_beta 145.06
_cell_angle_gamma 43.30
_symmetry_space_group_name_H-M 'P 1'
_symmetry_Int_Tables_number 1
_symmetry_space_group_name_Hall 'P 1'
loop_
_atom_site_label
_atom_site_type_symbol
_atom_site_fract_x
_atom_site_fract_y
_atom_site_fract_z
Ca1 Ca 0.000 0.000 0.000
In1 In 0.351 0.351 0.000
In2 In 0.679 0.179 0.500
Os1 Os 0.185 0.685 0.500